1.
Cs2ZrNbZn: relaxed, PBE.

The structure belongs to space group P4/mmm (No. 123); the cell edges are 6.749, 6.749 and 5.195 Å and the angles 90.00°, 90.00° and 90.00°. The distinct sites, in fractional coordinates, are Cs at (0.000, 0.500, 0.000), Zr at (0.000, 0.000, 0.500), Nb at (0.500, 0.500, 0.000) and Zn at (0.500, 0.500, 0.500).

For the final energy, the calculation gives -2.426 eV per atom. The value obtained for the density of states at the Fermi level is 6.30 states/eV/cell. The energy of formation from the pure elements is 1.8939 eV per atom. As for the crystal system: tetragonal. Its total moment is 3.91 μB/cell. The calculation puts the volume at 47.318 Å³/atom.

---

2.
Cs3ZrNb: relaxed, PBE.

The structure belongs to space group Pm-3m (No. 221); the cell edges are 7.002, 7.002 and 7.002 Å and the angles 90.00°, 90.00° and 90.00°. The distinct sites, in fractional coordinates, are Cs at (0.000, 0.000, 0.500), Zr at (0.000, 0.000, 0.000) and Nb at (0.500, 0.500, 0.500).

For the final energy, the calculation gives -2.241 eV per atom. The value obtained for the density of states at the Fermi level is 12.48 states/eV/cell. The energy of formation from the pure elements is 1.9943 eV per atom. As for the crystal system: cubic. Its total moment is 8.81 μB/cell. The calculation puts the volume at 68.651 Å³/atom.